(1)
An optimized crystal structure of Li2Ge2Mo. Source: the Alexandria database, functional PBE-GGA.

Computed properties:
- formation energy (eV/atom) = -0.0327
- total DFT energy (no corrections) (eV/atom) = -4.811
- magnetization (μB per cell) = 0.000
- distance to the lowest polymorph of the same formula (eV per atom) = 0.000
- crystal system = tetragonal

abc: 7.1304 7.1304 2.8751
angles: 90.00 90.00 90.00
Positions (direct):
Li1 0.1385 0.3615 0.0000
Li2 0.3615 0.8615 0.0000
Li3 0.6385 0.1385 0.0000
Li4 0.8615 0.6385 0.0000
Ge1 0.1614 0.6614 0.5000
Ge2 0.3386 0.1614 0.5000
Ge3 0.6614 0.8386 0.5000
Ge4 0.8386 0.3386 0.5000
Mo1 0.0000 0.0000 0.5000
Mo2 0.5000 0.5000 0.5000

(2)
An optimized crystal structure of LiGe3Mo. Source: the Alexandria database, functional PBE-GGA.

Computed properties:
- formation energy (eV/atom) = 0.1943
- total DFT energy (no corrections) (eV/atom) = -5.125
- magnetization (μB per cell) = 0.000
- distance to the lowest polymorph of the same formula (eV per atom) = 0.000
- crystal system = cubic

abc: 4.9133 4.9133 4.9133
angles: 90.00 90.00 90.00
Positions (direct):
Li1 0.0000 0.0000 0.0000
Ge1 0.0000 0.5000 0.5000
Ge2 0.5000 0.0000 0.5000
Ge3 0.5000 0.5000 0.0000
Mo1 0.5000 0.5000 0.5000

(3)
An optimized crystal structure of Li2Ge2Mo. Source: the Alexandria database, functional PBE-GGA.

Computed properties:
- formation energy (eV/atom) = -0.0291
- total DFT energy (no corrections) (eV/atom) = -4.808
- magnetization (μB per cell) = 0.000
- distance to the lowest polymorph of the same formula (eV per atom) = 0.004
- crystal system = tetragonal

abc: 6.7430 6.7430 6.7430
angles: 150.48 150.48 42.23
Positions (direct):
Li1 0.2500 0.7500 0.5000
Li2 0.7500 0.2500 0.5000
Ge1 0.1007 0.1007 0.0000
Ge2 0.8993 0.8993 0.0000
Mo1 0.5000 0.5000 0.0000

Q: Look up the magnetization of the second one.
A: 0.000 μB per cell

Q: formation energy of number 2 (LiGe3Mo)?
A: 0.1943 eV/atom

Q: total DFT energy (no corrections) of number 2 (LiGe3Mo)?
A: -5.125 eV/atom

What did the first record say?
An optimized crystal structure of Li2Ge2Mo. Source: the Alexandria database, functional PBE-GGA.

Computed properties:
- formation energy (eV/atom) = -0.0327
- total DFT energy (no corrections) (eV/atom) = -4.811
- magnetization (μB per cell) = 0.000
- distance to the lowest polymorph of the same formula (eV per atom) = 0.000
- crystal system = tetragonal

abc: 7.1304 7.1304 2.8751
angles: 90.00 90.00 90.00
Positions (direct):
Li1 0.1385 0.3615 0.0000
Li2 0.3615 0.8615 0.0000
Li3 0.6385 0.1385 0.0000
Li4 0.8615 0.6385 0.0000
Ge1 0.1614 0.6614 0.5000
Ge2 0.3386 0.1614 0.5000
Ge3 0.6614 0.8386 0.5000
Ge4 0.8386 0.3386 0.5000
Mo1 0.0000 0.0000 0.5000
Mo2 0.5000 0.5000 0.5000